1.
Computed, not measured: a geometry-optimized CoPbS2Br structure at the GGA-PBE level of DFT.

The structure in POSCAR format:
```
CoPbS2Br
1.0
4.9744 0.0000 0.0000
0.0000 4.9744 0.0000
0.0000 0.0000 5.6215
Co Pb S Br
1 1 2 1
direct
0.0000 0.0000 0.0000
0.5000 0.5000 0.0000
0.0000 0.5000 0.5000
0.5000 0.0000 0.5000
0.5000 0.5000 0.5000
```

Output
**Total moment**: 0.505 μB/atom
**E**: -14.205 eV per formula unit
**Raw formation energy**: 1.31 eV per atom
**Space group**: P4/mmm

***

2.
Computed, not measured: a geometry-optimized Mn3Nb4Tc structure at the GGA-PBE level of DFT.

The structure in POSCAR format:
```
Mn3Nb4Tc
1.0
3.1095 0.0000 0.0000
0.0000 4.4017 0.0000
0.0000 0.0000 8.7547
Mn Nb Tc
3 4 1
direct
0.0000 0.0000 0.0000
0.0000 0.5000 0.2466
0.0000 0.5000 0.7534
0.5000 0.0000 0.2431
0.5000 0.0000 0.7569
0.5000 0.5000 0.0000
0.5000 0.5000 0.5000
0.0000 0.0000 0.5000
```

Output
**Total moment**: 0.000 μB/atom
**E**: -79.423 eV per formula unit
**Space group**: Pmmm
**Formation enthalpy at 0 K**: -15 kJ per mole of atoms

***

3.
Computed, not measured: a geometry-optimized Nd2ScTl structure at the GGA-PBE level of DFT.

The structure in POSCAR format:
```
Nd2ScTl
1.0
5.5872 0.0000 0.0000
0.0000 5.5872 0.0000
0.0000 0.0000 3.7925
Nd Sc Tl
2 1 1
direct
0.0000 0.5000 0.0000
0.5000 0.0000 0.0000
0.0000 0.0000 0.5000
0.5000 0.5000 0.5000
```

Output
**Total moment**: 0.002 μB/atom
**E**: -18.685 eV per formula unit
**Offset from the most stable computed form**: 60.5 meV per atom
**Space group**: P4/mmm
**Formation enthalpy at 0 K**: -11 kJ per mole of atoms

***

4.
Computed, not measured: a geometry-optimized SmHoSn structure at the GGA-PBE level of DFT.

The structure in POSCAR format:
```
SmHoSn
1.0
-2.3017 2.3017 8.4446
2.3017 -2.3017 8.4446
2.3017 2.3017 -8.4446
Sm Ho Sn
2 2 2
direct
0.1762 0.1762 0.0000
0.8238 0.8238 0.0000
0.0000 0.5000 0.5000
0.5000 0.0000 0.5000
0.3657 0.3657 0.0000
0.6343 0.6343 0.0000
```

Output
**Total moment**: 0.002 μB/atom
**E**: -15.117 eV per formula unit
**Offset from the most stable computed form**: 0.0 meV per atom
**Space group**: I4/mmm
**Formation enthalpy at 0 K**: -58 kJ per mole of atoms

***

5.
Computed, not measured: a geometry-optimized CoPd2Pt structure at the GGA-PBE level of DFT.

The structure in POSCAR format:
```
CoPd2Pt
1.0
1.3732 -5.0653 0.0000
1.3732 5.0653 0.0000
0.0000 0.0000 8.3467
Co Pd Pt
2 4 2
direct
0.2474 0.7526 0.7500
0.7526 0.2474 0.2500
0.3669 0.6331 0.0271
0.3669 0.6331 0.4729
0.6331 0.3669 0.5271
0.6331 0.3669 0.9729
0.0304 0.9696 0.2500
0.9696 0.0304 0.7500
```

Output
**Total moment**: 0.797 μB/atom
**E**: -23.549 eV per formula unit
**Space group**: Cmcm
**Formation enthalpy at 0 K**: 0 kJ per mole of atoms

***

6.
Computed, not measured: a geometry-optimized Y8S6N structure at the GGA-PBE level of DFT.

The structure in POSCAR format:
```
Y8S6N
1.0
9.7871 0.0000 0.0000
-4.8935 8.4759 0.0000
0.0000 0.0000 4.0178
Y S N
8 6 1
direct
0.0266 0.3035 0.2346
0.2770 0.9734 0.2346
0.3035 0.2770 0.7654
0.3333 0.6667 0.7560
0.6667 0.3333 0.2440
0.6965 0.7230 0.2346
0.7230 0.0266 0.7654
0.9734 0.6965 0.7654
0.1293 0.6532 0.2577
0.3468 0.4761 0.2577
0.4761 0.1293 0.7423
0.5239 0.8707 0.2577
0.6532 0.5239 0.7423
0.8707 0.3468 0.7423
0.0000 0.0000 0.0000
```

Output
**Total moment**: 0.000 μB/atom
**E**: -103.744 eV per formula unit
**Raw formation energy**: -1.26 eV per atom
**Space group**: P-3

***

7.
Computed, not measured: a geometry-optimized Cd2HgAs2 structure at the GGA-PBE level of DFT.

The structure in POSCAR format:
```
Cd2HgAs2
1.0
8.8765 0.0000 0.0000
0.0000 8.8765 0.0000
0.0000 0.0000 2.9625
Cd Hg As
4 2 4
direct
0.1481 0.3519 0.0000
0.3519 0.8519 0.0000
0.6481 0.1481 0.0000
0.8519 0.6481 0.0000
0.0000 0.0000 0.5000
0.5000 0.5000 0.5000
0.1479 0.6479 0.5000
0.3521 0.1479 0.5000
0.6479 0.8521 0.5000
0.8521 0.3521 0.5000
```

Output
**Total moment**: 0.000 μB/atom
**E**: -10.662 eV per formula unit
**Offset from the most stable computed form**: 145.8 meV per atom
**Space group**: P4/mbm
**Formation enthalpy at 0 K**: 15 kJ per mole of atoms

***

8.
Computed, not measured: a geometry-optimized AcMgTl4O8 structure at the GGA-PBE level of DFT.

The structure in POSCAR format:
```
AcMgTl4O8
1.0
3.4671 2.0017 5.4999
-3.4671 2.0017 5.4999
0.0000 -4.0035 5.4999
Ac Mg Tl O
1 1 4 8
direct
0.0000 0.0000 0.0000
0.6224 0.6224 0.6224
0.1200 0.6189 0.6189
0.2401 0.2401 0.2401
0.6189 0.1200 0.6189
0.6189 0.6189 0.1200
0.3782 0.3782 0.3782
0.3891 0.3891 0.8278
0.3891 0.8278 0.3891
0.4199 0.8444 0.8444
0.8278 0.3891 0.3891
0.8444 0.4199 0.8444
0.8444 0.8444 0.4199
0.8569 0.8569 0.8569
```

Output
**Total moment**: 0.000 μB/atom
**E**: -74.278 eV per formula unit
**Raw formation energy**: -1.39 eV per atom
**Space group**: R3m

***

9.
Computed, not measured: a geometry-optimized La4HgH structure at the GGA-PBE level of DFT.

The structure in POSCAR format:
```
La4HgH
1.0
5.2867 0.0000 0.0000
0.0000 8.3708 0.0000
0.0000 0.0000 7.9974
La Hg H
8 2 2
direct
0.2500 0.0400 0.2030
0.2500 0.2500 0.7376
0.2500 0.4600 0.2030
0.2500 0.7500 0.5562
0.7500 0.2500 0.4438
0.7500 0.5400 0.7970
0.7500 0.7500 0.2624
0.7500 0.9600 0.7970
0.2500 0.7500 0.9488
0.7500 0.2500 0.0512
0.2500 0.2500 0.4190
0.7500 0.7500 0.5810
```

Output
**Total moment**: 0.000 μB/atom
**E**: -24.813 eV per formula unit
**Space group**: Pmmn

***

10.
Computed, not measured: a geometry-optimized La8Cu3PI4 structure at the GGA-PBE level of DFT.

The structure in POSCAR format:
```
La8Cu3PI4
1.0
4.3182 2.4931 7.9007
-4.3182 2.4931 7.9007
0.0000 -4.9863 7.9007
La Cu P I
8 3 1 4
direct
0.2329 0.2329 0.2329
0.2393 0.7314 0.7314
0.2686 0.2686 0.7607
0.2686 0.7607 0.2686
0.7314 0.2393 0.7314
0.7314 0.7314 0.2393
0.7607 0.2686 0.2686
0.7671 0.7671 0.7671
0.0000 0.0000 0.5000
0.0000 0.5000 0.0000
0.5000 0.0000 0.0000
0.5000 0.5000 0.5000
0.0000 0.0000 0.0000
0.0000 0.5000 0.5000
0.5000 0.0000 0.5000
0.5000 0.5000 0.0000
```

Output
**Total moment**: 0.000 μB/atom
**E**: -75.710 eV per formula unit
**Raw formation energy**: -0.77 eV per atom
**Space group**: R-3m

***

11.
Computed, not measured: a geometry-optimized Ag3SbS3 structure at the GGA-PBE level of DFT.

The structure in POSCAR format:
```
Ag3SbS3
1.0
8.7551 0.0000 0.0000
0.0000 4.1993 0.0000
-0.9023 0.0000 9.5525
Ag Sb S
6 2 6
direct
0.0077 0.2500 0.1653
0.2946 0.2500 0.6460
0.3847 0.2500 0.0506
0.6153 0.7500 0.9494
0.7054 0.7500 0.3540
0.9923 0.7500 0.8347
0.1878 0.7500 0.2763
0.8122 0.2500 0.7237
0.1539 0.2500 0.8756
0.2105 0.7500 0.5246
0.4530 0.7500 0.1966
0.5470 0.2500 0.8034
0.7895 0.2500 0.4754
0.8461 0.7500 0.1244
```

Output
**Total moment**: 0.000 μB/atom
**E**: -25.030 eV per formula unit
**Raw formation energy**: 0.00 eV per atom
**Offset from the most stable computed form**: 134.0 meV per atom
**Space group**: P2_1/m

***

12.
Computed, not measured: a geometry-optimized TmZnRu2 structure at the GGA-PBE level of DFT.

The structure in POSCAR format:
```
TmZnRu2
1.0
3.3004 0.0000 0.0000
0.0000 3.3004 0.0000
0.0000 0.0000 6.1199
Tm Zn Ru
1 1 2
direct
0.0000 0.0000 0.0000
0.0000 0.0000 0.5000
0.5000 0.5000 0.2888
0.5000 0.5000 0.7112
```

Output
**Total moment**: 0.259 μB/atom
**E**: -24.727 eV per formula unit
**Space group**: P4/mmm
**Formation enthalpy at 0 K**: -10 kJ per mole of atoms